Below is CuTcP after structural relaxation, with properties calculated at the PBE-GGA level.

Spin magnetization ... 0.00 μB per cell
Formation energy from the elements ... -0.261 eV/atom
Offset from the most stable computed form ... 0.007 eV/atom

a = 4.449 Å, b = 4.449 Å, c = 6.216 Å
α = 95.38°, β = 95.38°, γ = 40.59°
Fractional coordinates of all 6 atoms:
Cu: 0.000 0.000 0.000
Cu: 0.717 0.717 0.884
Tc: 0.406 0.406 0.619
Tc: 0.670 0.670 0.314
P: 0.119 0.119 0.612
P: 0.375 0.375 0.236


Below is Ca5As3HO13 after structural relaxation, with properties calculated at the PBE-GGA level.

Spin magnetization ... 0.00 μB per cell
DFT total energy ... -141.41 eV/f.u.

a = 10.023 Å, b = 10.023 Å, c = 6.929 Å
α = 90.00°, β = 90.00°, γ = 120.00°
Fractional coordinates of all 44 atoms:
Ca: 0.017 0.763 0.000
Ca: 0.237 0.254 0.000
Ca: 0.254 0.017 0.500
Ca: 0.333 0.667 0.253
Ca: 0.333 0.667 0.747
Ca: 0.667 0.333 0.247
Ca: 0.667 0.333 0.753
Ca: 0.746 0.983 0.000
Ca: 0.763 0.746 0.500
Ca: 0.983 0.237 0.500
As: 0.027 0.403 0.001
As: 0.375 0.973 0.001
As: 0.403 0.375 0.501
As: 0.597 0.625 0.001
As: 0.625 0.027 0.501
As: 0.973 0.597 0.501
H: 0.000 0.000 0.170
H: 0.000 0.000 0.670
O: 0.000 0.000 0.029
O: 0.000 0.000 0.529
O: 0.086 0.338 0.806
O: 0.089 0.344 0.198
O: 0.136 0.602 0.998
O: 0.165 0.660 0.501
O: 0.252 0.914 0.806
O: 0.254 0.911 0.198
O: 0.338 0.252 0.306
O: 0.340 0.505 0.501
O: 0.344 0.254 0.698
O: 0.398 0.533 0.998
O: 0.467 0.864 0.998
O: 0.495 0.835 0.501
O: 0.505 0.165 0.001
O: 0.533 0.136 0.498
O: 0.602 0.467 0.498
O: 0.656 0.746 0.198
O: 0.660 0.495 0.001
O: 0.662 0.748 0.806
O: 0.746 0.089 0.698
O: 0.748 0.086 0.306
O: 0.835 0.340 0.001
O: 0.864 0.398 0.498
O: 0.911 0.656 0.698
O: 0.914 0.662 0.306


Below is CaTlOs after structural relaxation, with properties calculated at the PBE-GGA level.

Spin magnetization ... 0.00 μB per cell
Formation energy from the elements ... 0.514 eV/atom

a = 4.979 Å, b = 4.979 Å, c = 2.974 Å
α = 90.00°, β = 90.00°, γ = 120.00°
Fractional coordinates of all 3 atoms:
Ca: 0.000 0.000 0.000
Tl: 0.667 0.333 0.500
Os: 0.333 0.667 0.500


Copy entry 1 word for word.
Below is CuTcP after structural relaxation, with properties calculated at the PBE-GGA level.

Spin magnetization ... 0.00 μB per cell
Formation energy from the elements ... -0.261 eV/atom
Offset from the most stable computed form ... 0.007 eV/atom

a = 4.449 Å, b = 4.449 Å, c = 6.216 Å
α = 95.38°, β = 95.38°, γ = 40.59°
Fractional coordinates of all 6 atoms:
Cu: 0.000 0.000 0.000
Cu: 0.717 0.717 0.884
Tc: 0.406 0.406 0.619
Tc: 0.670 0.670 0.314
P: 0.119 0.119 0.612
P: 0.375 0.375 0.236


- What is the spin magnetization in the third record?
  0.00 μB per cell